(1)
Computed, not measured: Li3CrCo4O8 after structural relaxation at the PBE+U level of DFT.

Results
* space-group type: C2/m

Structure (extended XYZ):
```
16
Lattice="5.1753 -2.9239 0.0000 5.1753 2.9239 0.0000 -3.3659 0.0000 4.8545" Properties=species:S:1:pos:R:3 pbc="T T T"
Li 0.0000 0.0000 0.0000
Li 2.5877 1.4619 0.0000
Li 2.5877 -1.4619 0.0000
Cr 3.4924 0.0000 2.4272
Co -1.6829 0.0000 2.4272
Co 0.9047 1.4619 2.4272
Co 0.9047 -1.4619 2.4272
Co 5.1753 0.0000 0.0000
O 0.1129 0.0000 3.5820
O 4.3071 1.4234 1.2528
O 2.6776 1.4234 3.6017
O 1.7292 0.0000 1.3970
O 5.2556 0.0000 3.4575
O 4.3071 -1.4234 1.2528
O 2.6776 -1.4234 3.6017
O 6.8718 0.0000 1.2725
```

(2)
Computed, not measured: Li4Cr3CoO8 after structural relaxation at the PBE+U level of DFT.

Results
* space-group type: R-3m
* energy relative to the lowest polymorph listed for this composition: 4 meV/atom

Structure (extended XYZ):
```
16
Lattice="2.9334 1.6936 4.8324 -2.9334 1.6936 4.8324 0.0000 -3.3872 4.8324" Properties=species:S:1:pos:R:3 pbc="T T T"
Li 0.0000 0.0000 0.0000
Li -1.4667 -0.8468 4.8324
Li -1.4667 0.8468 9.6648
Li 0.0000 1.6936 4.8324
Cr -2.9334 0.0000 7.2486
Cr -1.4667 0.8468 2.4162
Cr 1.4667 0.8468 2.4162
Co 0.0000 0.0000 7.2486
O 0.0000 0.0000 3.5111
O -1.4360 -0.8291 8.3287
O 0.0000 -1.6582 6.1684
O -1.4360 0.8291 6.1684
O 1.4360 -0.8291 8.3287
O 0.0000 1.6582 8.3287
O 1.4360 0.8291 6.1684
O 0.0000 0.0000 10.9860
```

(3)
Computed, not measured: Li4Cr3CoO8 after structural relaxation at the PBE+U level of DFT.

Results
* space-group type: P-1
* energy relative to the lowest polymorph listed for this composition: 0 meV/atom

Structure (extended XYZ):
```
16
Lattice="5.0822 0.0000 0.0000 -0.8422 5.0483 0.0000 -0.0033 -1.6971 5.6180" Properties=species:S:1:pos:R:3 pbc="T T T"
Li 0.7924 1.8665 2.1220
Li 0.8606 1.0049 4.8814
Li 3.3760 2.3463 0.7366
Li 3.4442 1.4846 3.4960
Cr 0.0000 0.0000 0.0000
Cr 1.6947 4.6172 1.4195
Cr 2.5420 -1.2660 4.1985
Co -0.0017 -0.8486 2.8090
O -0.0195 3.5789 1.1282
O -0.0137 2.7588 3.8677
O 1.6462 0.1853 3.1197
O 1.6997 1.0516 0.3191
O 2.5369 2.2996 5.2989
O 2.5904 3.1659 2.4983
O 4.2503 0.5924 1.7504
O 4.2561 -0.2277 4.4898
```

(4)
Computed, not measured: Li2CrCo3O8 after structural relaxation at the PBE+U level of DFT.

Results
* space-group type: Cc
* energy relative to the lowest polymorph listed for this composition: 22 meV/atom

Structure (extended XYZ):
```
28
Lattice="2.8379 -4.9367 0.0000 2.8379 4.9367 0.0000 -0.0624 0.0000 9.3320" Properties=species:S:1:pos:R:3 pbc="T T T"
Li 2.8379 -4.9366 0.0000
Li 2.8067 4.9366 4.6660
Li 2.7885 1.6238 3.6960
Li 2.7573 -1.6238 8.3620
Cr 2.7915 1.6646 9.2076
Cr 2.8227 -1.6646 4.5416
Co 1.3743 0.8401 6.6621
Co 2.7764 3.2812 6.6584
Co 1.4055 -0.8401 1.9962
Co 4.1739 0.8429 6.6827
Co 2.8076 -3.2812 1.9924
Co 4.2051 -0.8429 2.0168
O 1.5192 2.3829 7.7790
O 1.3724 0.8048 1.0256
O 2.8555 3.3410 1.0049
O 1.3412 -0.8048 5.6916
O 2.7807 1.6535 5.6907
O 2.7518 0.2020 7.7994
O 4.0224 2.4016 7.7877
O 2.7830 -0.2020 3.1334
O 1.5504 -2.3829 3.1130
O 2.8119 -1.6535 1.0247
O 4.3009 0.8265 0.9996
O 2.8243 -3.3410 5.6709
O 4.2697 -0.8265 5.6656
O 4.0536 -2.4016 3.1217
O 5.6179 0.0035 7.5746
O 5.6491 -0.0035 2.9086
```

(5)
Computed, not measured: Li2CrCo3O8 after structural relaxation at the PBE+U level of DFT.

Results
* space-group type: R32
* energy relative to the lowest polymorph listed for this composition: 0 meV/atom

Structure (extended XYZ):
```
56
Lattice="5.7641 3.3279 4.6999 -5.7641 3.3279 4.6999 0.0000 -6.6558 4.6999" Properties=species:S:1:pos:R:3 pbc="T T T"
Li 0.0000 0.0000 1.7398
Li -2.8863 -1.6816 6.4633
Li -0.0132 -3.3405 7.6364
Li -2.8863 1.6816 7.6364
Li -0.0132 3.3405 6.4633
Li 2.8995 -1.6588 6.4633
Li 2.8995 1.6588 7.6364
Li 0.0000 0.0000 12.3599
Cr -4.3294 0.8430 4.6999
Cr 1.4347 -4.1709 4.6999
Cr 0.0000 0.0000 7.0499
Cr 2.8947 3.3279 4.6999
Co -1.4623 -4.1230 4.6999
Co -2.8585 -4.9511 7.0499
Co -0.0198 -1.6607 4.6589
Co -1.4283 0.8475 4.6589
Co -2.8394 3.3279 4.6999
Co 1.4481 0.8132 4.6589
Co -2.8585 4.9511 7.0499
Co -1.4283 -0.8475 9.4408
Co 4.3018 0.7951 4.6999
Co -0.0198 1.6607 9.4408
Co 1.4481 -0.8132 9.4408
Co 5.7170 0.0000 7.0499
O -0.0727 -4.7972 3.5448
O -1.2861 -2.5725 3.5816
O -4.1182 2.4616 3.5448
O -2.7890 0.2040 3.5378
O 1.2178 -2.5174 3.5378
O -0.0581 -3.2370 5.6751
O -1.5848 2.4001 3.5816
O -2.7742 1.6688 5.6751
O -1.3085 -0.7551 5.7285
O 0.0000 0.0000 3.6943
O -4.1182 -2.4616 10.5549
O -2.7742 -1.6688 8.4246
O 1.3081 -0.7556 5.7285
O 0.0003 1.5107 5.7285
O -1.5848 -2.4001 10.5181
O -2.7890 -0.2040 10.5619
O 1.5712 2.3133 3.5378
O 2.8709 0.1724 3.5816
O 0.0003 -1.5107 8.3712
O -1.3085 0.7551 8.3712
O 2.8324 1.5682 5.6751
O 4.1909 2.3357 3.5448
O 0.0000 0.0000 10.4054
O 1.3081 0.7556 8.3712
O -0.0581 3.2370 8.4246
O -1.2861 2.5725 10.5181
O 2.8324 -1.5682 8.4246
O 1.5712 -2.3133 10.5619
O 1.2178 2.5174 10.5619
O -0.0727 4.7972 10.5549
O 2.8709 -0.1724 10.5181
O 4.1909 -2.3357 10.5549
```

(6)
Computed, not measured: Li4Cr3CoO8 after structural relaxation at the PBE+U level of DFT.

Results
* space-group type: P-1
* energy relative to the lowest polymorph listed for this composition: 10 meV/atom

Structure (extended XYZ):
```
32
Lattice="5.8897 0.0000 0.0000 2.9258 5.9202 0.0000 2.9239 -0.0463 8.3395" Properties=species:S:1:pos:R:3 pbc="T T T"
Li 1.4736 0.0694 0.0026
Li 2.9017 1.4641 2.0580
Li 5.8432 4.4042 6.2686
Li 4.4497 2.9864 4.1484
Li 7.2897 2.8875 4.1911
Li 5.8962 1.4697 2.0709
Li 8.8377 4.4099 6.2815
Li 10.2658 5.8045 8.3370
Cr 2.9304 4.4242 2.0745
Cr 5.8562 1.4547 6.2616
Cr 4.4068 -0.0232 4.1698
Cr 4.4077 2.9601 0.0000
Cr 5.8831 4.4192 2.0779
Cr 8.8090 1.4497 6.2650
Co 1.4619 -0.0232 4.1698
Co 1.4629 2.9601 0.0000
O 2.8787 1.3175 4.2332
O 4.3864 2.8413 6.3673
O 2.8983 4.3165 0.0573
O 4.4144 5.8070 2.1412
O 5.8243 1.5589 8.2824
O 4.3894 0.0621 6.1963
O 4.4018 3.0402 2.0197
O 5.9003 4.4739 4.0934
O 5.8391 1.4000 4.2462
O 7.3376 2.8337 6.3198
O 7.3499 5.8119 2.1433
O 5.9151 4.3150 0.0572
O 7.3250 0.0669 6.1983
O 8.8410 1.5574 8.2822
O 7.3530 3.0326 1.9722
O 8.8606 4.5565 4.1063
```

(7)
Computed, not measured: Li2CrCo3O8 after structural relaxation at the PBE+U level of DFT.

Results
* space-group type: R-3m
* energy relative to the lowest polymorph listed for this composition: 12 meV/atom

Structure (extended XYZ):
```
14
Lattice="2.8606 1.6516 4.7563 -2.8606 1.6516 4.7563 0.0000 -3.3031 4.7563" Properties=species:S:1:pos:R:3 pbc="T T T"
Li 0.0000 0.0000 1.7520
Li 0.0000 0.0000 12.5169
Cr 0.0000 0.0000 7.1345
Co -1.4303 -0.8258 4.7563
Co -1.4303 0.8258 9.5126
Co 0.0000 1.6516 4.7563
O 0.0000 -1.4937 5.7907
O -1.2936 0.7469 5.7907
O 0.0000 0.0000 3.7515
O -1.2936 -0.7469 8.4782
O 1.2936 0.7469 5.7907
O 0.0000 0.0000 10.5174
O 1.2936 -0.7469 8.4782
O 0.0000 1.4937 8.4782
```

(8)
Computed, not measured: Li5Cr2Co5O12 after structural relaxation at the PBE+U level of DFT.

Results
* space-group type: C2

Structure (extended XYZ):
```
24
Lattice="2.5729 -4.3982 0.0000 2.5729 4.3982 0.0000 -1.5204 0.0000 9.6900" Properties=species:S:1:pos:R:3 pbc="T T T"
Li 0.0000 0.0000 0.0000
Li 0.8803 1.4403 2.3473
Li 0.1411 0.0514 7.3494
Li 2.7450 1.4403 7.3427
Li 3.4843 0.0514 2.3406
Cr 1.8127 2.9835 4.8450
Cr 2.5729 -1.4603 0.0000
Co 2.5729 1.4915 0.0000
Co 0.8794 -1.4144 2.3639
Co 1.8127 0.0268 4.8450
Co 1.8127 -2.8653 4.8450
Co 2.7460 -1.4144 7.3262
O 1.7058 2.8296 1.1228
O 0.1091 -0.0128 3.6757
O 0.9840 1.5543 5.9845
O 1.9196 2.8296 8.5673
O 1.7760 -0.0228 1.1563
O 2.6414 1.5543 3.7056
O 0.9398 -1.3405 5.9658
O 1.8494 -0.0228 8.5337
O 1.6825 -2.8265 1.1923
O 2.6856 -1.3405 3.7242
O 3.5163 -0.0128 6.0143
O 1.9429 -2.8265 8.4977
```

(9)
Computed, not measured: Li4Cr3CoO8 after structural relaxation at the PBE+U level of DFT.

Results
* space-group type: C2/m
* energy relative to the lowest polymorph listed for this composition: 1 meV/atom

Structure (extended XYZ):
```
16
Lattice="5.1229 -2.9361 0.0000 5.1229 2.9361 0.0000 -1.6792 0.0000 4.7938" Properties=species:S:1:pos:R:3 pbc="T T T"
Li 2.5615 1.4681 0.0000
Li 1.7194 0.0000 2.3101
Li 2.5615 -1.4681 0.0000
Li 6.8473 0.0000 2.4837
Cr 4.2833 1.4853 2.3969
Cr 5.1229 0.0000 0.0000
Cr 4.2833 -1.4853 2.3969
Co 0.0000 0.0000 0.0000
O -0.1140 0.0000 3.5927
O 2.6992 1.5044 3.6561
O 5.8675 1.5044 1.1377
O 3.5279 0.0000 1.2422
O 5.0387 0.0000 3.5516
O 2.6992 -1.5044 3.6561
O 5.8675 -1.5044 1.1377
O 8.6807 0.0000 1.2011
```

(10)
Computed, not measured: Li2CrCoO after structural relaxation at the PBE+U level of DFT.

Results
* space-group type: P4/mmm

Structure (extended XYZ):
```
5
Lattice="3.8772 0.0000 0.0000 0.0000 3.8772 0.0000 0.0000 0.0000 4.2623" Properties=species:S:1:pos:R:3 pbc="T T T"
Li 0.0000 1.9386 0.0000
Li 1.9386 0.0000 0.0000
Cr 0.0000 0.0000 2.1311
Co 1.9386 1.9386 2.1311
O 1.9386 1.9386 0.0000
```

(11)
Computed, not measured: Li3CrCo3O8 after structural relaxation at the PBE+U level of DFT.

Results
* space-group type: C2/m
* energy relative to the lowest polymorph listed for this composition: 5 meV/atom

Structure (extended XYZ):
```
15
Lattice="4.9946 -2.9234 0.0000 4.9946 2.9234 0.0000 -3.3252 0.0000 4.8455" Properties=species:S:1:pos:R:3 pbc="T T T"
Li 0.0000 0.0000 0.0000
Li 2.4973 1.4617 0.0000
Li 2.4973 -1.4617 0.0000
Cr 3.3321 0.0000 2.4228
Co -1.6626 0.0000 2.4228
Co 0.8347 1.4617 2.4228
Co 0.8347 -1.4617 2.4228
O 2.4856 1.5336 3.4238
O -0.1564 0.0000 3.5081
O 4.1785 1.5336 1.4217
O 1.6331 0.0000 1.3387
O 5.0310 0.0000 3.5068
O 2.4856 -1.5336 3.4238
O 6.8205 0.0000 1.3374
O 4.1785 -1.5336 1.4217
```

(12)
Computed, not measured: Li2CrCo3O8 after structural relaxation at the PBE+U level of DFT.

Results
* space-group type: C2/m
* energy relative to the lowest polymorph listed for this composition: 41 meV/atom

Structure (extended XYZ):
```
14
Lattice="4.9641 -2.9009 0.0000 4.9641 2.9009 0.0000 -3.3863 0.0000 4.8806" Properties=species:S:1:pos:R:3 pbc="T T T"
Li 0.0000 0.0000 0.0000
Li 4.9641 0.0000 0.0000
Cr -1.6931 0.0000 2.4403
Co 0.7889 1.4505 2.4403
Co 0.7889 -1.4505 2.4403
Co 3.2709 0.0000 2.4403
O 2.3450 1.4578 3.4729
O 0.0441 0.0000 3.4371
O 1.5856 0.0000 1.4987
O 4.1968 1.4578 1.4077
O 2.3450 -1.4578 3.4729
O 4.9563 0.0000 3.3819
O 6.4977 0.0000 1.4435
O 4.1968 -1.4578 1.4077
```

Number 1: E -0.22112 Ha/atom. Number 2: E -0.24199 Ha/atom. Number 3: E -0.24211 Ha/atom. Number 4: E -0.22294 Ha/atom. Number 5: E -0.22375 Ha/atom. Number 6: E -0.24176 Ha/atom. Number 7: E -0.22331 Ha/atom. Number 8: E -0.22335 Ha/atom. Number 9: E -0.24208 Ha/atom. Number 10: E -0.17060 Ha/atom. Number 11: E -0.21975 Ha/atom. Number 12: E -0.22226 Ha/atom.